DFT (PBE with a Hubbard U) results for crystalline CrSnF5 at its relaxed geometry.

CIF file:
```
data_CrSnF5
_symmetry_space_group_name_H-M 'I m m m'
_symmetry_Int_Tables_number 71
_symmetry_space_group_name_Hall '-I 2 2'
_cell_length_a 3.9572
_cell_length_b 6.9341
_cell_length_c 8.4622
_cell_angle_alpha 90.00
_cell_angle_beta 90.00
_cell_angle_gamma 90.00
loop_
_atom_site_label
_atom_site_type_symbol
_atom_site_fract_x
_atom_site_fract_y
_atom_site_fract_z
_atom_site_occupancy
Cr1 Cr 0.0000 0.0000 0.0000 1
Sn1 Sn 0.0000 0.0000 0.5000 1
F1 F 0.0000 0.0000 0.2277 1
F2 F 0.0000 0.2834 0.0000 1
F3 F 0.0000 0.5000 0.5000 1
```

Calculated values
The total magnetization comes out at 0.427 μB per atom. For the uncorrected energy, the calculation gives -77.05 eV per cell. The density of states at the Fermi level comes out at 0.000 states/eV/f.u. The crystal system is orthorhombic.